! Tb3HoTh3 | Alexandria via LeMat-Bulk | PBE-GGA | relaxed; values from VASP
&SYSTEM
  ibrav = 0, nat = 14, ntyp = 3
/
ATOMIC_SPECIES
Tb 158.93 Tb.upf
Ho 164.93 Ho.upf
Th 232.04 Th.upf
ATOMIC_POSITIONS angstrom
Tb 4.353 6.621 3.407
Tb 4.353 7.875 -2.683
Tb 1.451 6.261 5.478
Tb 4.353 1.974 -0.724
Tb 1.451 0.360 7.438
Tb 1.451 1.614 1.348
Ho 1.451 2.745 4.755
Ho 4.353 5.490 0.000
Th 4.353 4.228 6.084
Th 4.353 3.155 2.805
Th 1.451 7.383 -0.620
Th 4.353 0.852 5.375
Th 1.451 5.081 1.949
Th 1.451 4.007 -1.329
CELL_PARAMETERS angstrom
5.805 0.000 0.000
0.000 8.235 -4.755
0.000 0.000 9.509
! - Magnetization: 0.0 μB/cell
! - Calculated formation energy: 51.4 meV/atom
! - SG: P6_3/m, No. 176
! - V: 455 Å³/cell
! - DOS at the Fermi energy: 1.5474 states/eV/atom

! SmGeRh2 | Alexandria via LeMat-Bulk | PBE-GGA | relaxed; values from VASP
&SYSTEM
  ibrav = 0, nat = 8, ntyp = 3
/
ATOMIC_SPECIES
Sm 150.36 Sm.upf
Ge 72.64 Ge.upf
Rh 102.91 Rh.upf
ATOMIC_POSITIONS angstrom
Sm 0.000 3.526 5.717
Sm 0.000 0.632 2.590
Ge 2.045 2.351 0.903
Ge 2.045 1.807 7.404
Rh 0.000 2.011 -0.491
Rh 2.045 0.000 0.000
Rh 2.045 2.917 3.224
Rh 2.045 1.241 5.083
CELL_PARAMETERS angstrom
4.089 0.000 0.000
0.000 4.021 -0.982
0.000 0.137 9.289
! - Magnetization: 0.0 μB/cell
! - Calculated formation energy: -775.5 meV/atom
! - SG: Cmmm, No. 65
! - V: 153 Å³/cell
! - DOS at the Fermi energy: 0.4461 states/eV/atom

! Cd3In3Sb | Alexandria via LeMat-Bulk | PBE-GGA | relaxed; values from VASP
&SYSTEM
  ibrav = 0, nat = 14, ntyp = 3
/
ATOMIC_SPECIES
Sb 121.76 Sb.upf
Cd 112.41 Cd.upf
In 114.82 In.upf
ATOMIC_POSITIONS angstrom
Sb 4.011 4.011 4.011
Sb 0.000 0.000 0.000
Cd 2.006 0.000 4.011
Cd 0.000 4.011 2.006
Cd 4.011 6.017 0.000
Cd 6.017 0.000 4.011
Cd 0.000 4.011 6.017
Cd 4.011 2.006 0.000
In 0.000 2.006 4.011
In 0.000 6.017 4.011
In 4.011 0.000 6.017
In 6.017 4.011 0.000
In 4.011 0.000 2.006
In 2.006 4.011 0.000
CELL_PARAMETERS angstrom
8.022 0.000 0.000
0.000 8.022 0.000
0.000 0.000 8.022
! - Magnetization: 0.0 μB/cell
! - SG: Pm-3n, No. 223
! - Energy relative to the elements, uncorrected: 3.78 eV/f.u.
! - V: 516 Å³/cell
! - DOS at the Fermi energy: 0.4371 states/eV/atom

! YTaMo2 | Alexandria via LeMat-Bulk | PBE-GGA | relaxed; values from VASP
&SYSTEM
  ibrav = 0, nat = 4, ntyp = 3
/
ATOMIC_SPECIES
Mo 95.94 Mo.upf
Ta 180.95 Ta.upf
Y 88.91 Y.upf
ATOMIC_POSITIONS angstrom
Mo 0.000 0.000 0.000
Mo 1.657 2.481 0.000
Ta 1.657 0.000 2.276
Y 0.000 2.481 2.276
CELL_PARAMETERS angstrom
3.313 0.000 0.000
0.000 4.962 0.000
0.000 0.000 4.553
! - Magnetization: 0.0 μB/cell
! - Calculated formation energy: 452.6 meV/atom
! - SG: Pmmm, No. 47
! - V: 75 Å³/cell
! - DOS at the Fermi energy: 1.4191 states/eV/atom

! LiCd2SnP | Alexandria via LeMat-Bulk | PBE-GGA | relaxed; values from VASP
&SYSTEM
  ibrav = 0, nat = 5, ntyp = 4
/
ATOMIC_SPECIES
P 30.97 P.upf
Li 6.94 Li.upf
Sn 118.71 Sn.upf
Cd 112.41 Cd.upf
ATOMIC_POSITIONS angstrom
P -1.149 -1.460 4.256
Li -1.367 -2.172 0.490
Sn 0.000 0.000 0.000
Cd 1.741 -0.650 1.979
Cd -1.523 1.362 1.788
CELL_PARAMETERS angstrom
-3.046 2.724 3.576
-2.734 -4.344 0.979
3.483 -1.300 3.958
! - Magnetization: 2.1 μB/cell
! - Calculated formation energy: 634.1 meV/atom
! - SG: P4/mmm, No. 123
! - V: 154 Å³/cell
! - DOS at the Fermi energy: 0.3639 states/eV/atom

! RbAlS2 | Alexandria via LeMat-Bulk | PBE-GGA | relaxed; values from VASP
&SYSTEM
  ibrav = 0, nat = 8, ntyp = 3
/
ATOMIC_SPECIES
S 32.06 S.upf
Al 26.98 Al.upf
Rb 85.47 Rb.upf
ATOMIC_POSITIONS angstrom
S -0.335 0.025 1.882
S 2.611 3.672 5.907
S -0.341 0.037 5.902
S 2.617 3.661 1.887
Al 4.094 4.847 0.631
Al 1.141 4.846 0.630
Rb -0.338 3.224 3.900
Rb 2.614 0.474 3.889
CELL_PARAMETERS angstrom
5.905 0.000 0.001
0.000 6.011 0.001
-2.959 0.015 6.529
! - Magnetization: 0.0 μB/cell
! - SG: C2/m, No. 12
! - Energy relative to the elements, uncorrected: -5.07 eV/f.u.
! - V: 232 Å³/cell
! - DOS at the Fermi energy: 0.0000 states/eV/atom

> Which value of DOS at the Fermi energy does entry 6 give?

0.0000 states/eV/atom

> What is the V in the third record?

516 Å³/cell

> Which of these has the lowest V?

YTaMo2

What did the first record say?
! Tb3HoTh3 | Alexandria via LeMat-Bulk | PBE-GGA | relaxed; values from VASP
&SYSTEM
  ibrav = 0, nat = 14, ntyp = 3
/
ATOMIC_SPECIES
Tb 158.93 Tb.upf
Ho 164.93 Ho.upf
Th 232.04 Th.upf
ATOMIC_POSITIONS angstrom
Tb 4.353 6.621 3.407
Tb 4.353 7.875 -2.683
Tb 1.451 6.261 5.478
Tb 4.353 1.974 -0.724
Tb 1.451 0.360 7.438
Tb 1.451 1.614 1.348
Ho 1.451 2.745 4.755
Ho 4.353 5.490 0.000
Th 4.353 4.228 6.084
Th 4.353 3.155 2.805
Th 1.451 7.383 -0.620
Th 4.353 0.852 5.375
Th 1.451 5.081 1.949
Th 1.451 4.007 -1.329
CELL_PARAMETERS angstrom
5.805 0.000 0.000
0.000 8.235 -4.755
0.000 0.000 9.509
! - Magnetization: 0.0 μB/cell
! - Calculated formation energy: 51.4 meV/atom
! - SG: P6_3/m, No. 176
! - V: 455 Å³/cell
! - DOS at the Fermi energy: 1.5474 states/eV/atom